V3S | PBEsol | optimized geometry

Values from the calculation:
Excess energy over the best structure of this formula in the dataset (eV per atom): 0.004

a b c (Å): 4.503 6.964 6.964
angles (deg): 84.00 71.14 71.14
Positions (direct):
1 V 0.852 0.818 0.000
2 S 0.500 0.289 0.711
3 V 0.670 0.182 0.000
4 V 0.358 0.642 0.642
5 V 0.539 0.000 0.401
6 V 0.148 0.000 0.182
7 V 0.000 0.642 0.358
8 S 0.211 0.289 0.289
9 V 0.330 0.000 0.818
10 V 0.642 0.358 0.358
11 V 0.939 0.000 0.599
12 V 0.461 0.599 0.000
13 V 0.061 0.401 0.000
14 S 0.500 0.711 0.289
15 S 0.789 0.711 0.711
16 V 0.000 0.358 0.642



VS2 | PBEsol | optimized geometry

a b c (Å): 3.126 3.126 5.770
angles (deg): 90.00 90.00 120.00
Positions (direct):
1 S 0.333 0.667 0.254
2 S 0.667 0.333 0.746
3 V 0.000 0.000 0.000



VS4 | PBEsol | optimized geometry

a b c (Å): 6.830 8.196 8.196
angles (deg): 78.03 71.82 71.82
Positions (direct):
1 S 0.750 0.424 0.030
2 S 0.548 0.820 0.124
3 S 0.045 0.687 0.820
4 S 0.250 0.576 0.970
5 S 0.955 0.313 0.180
6 S 0.048 0.124 0.820
7 S 0.452 0.180 0.876
8 V 0.116 0.383 0.884
9 V 0.884 0.617 0.116
10 S 0.455 0.180 0.313
11 V 0.384 0.116 0.617
12 S 0.469 0.358 0.664
13 S 0.031 0.336 0.642
14 S 0.969 0.664 0.358
15 S 0.545 0.820 0.687
16 S 0.952 0.876 0.180
17 S 0.250 0.030 0.424
18 V 0.616 0.884 0.383
19 S 0.531 0.642 0.336
20 S 0.750 0.970 0.576



VS2 | PBEsol | optimized geometry

a b c (Å): 3.117 3.117 6.240
angles (deg): 75.54 75.54 60.00
Positions (direct):
1 S 0.251 0.251 0.246
2 S 0.749 0.749 0.754
3 V 0.000 0.000 0.000



V3S | PBEsol | optimized geometry

Values from the calculation:
Excess energy over the best structure of this formula in the dataset (eV per atom): 0.000

a b c (Å): 4.593 9.206 9.206
angles (deg): 90.00 90.00 90.00
Positions (direct):
1 V 0.750 0.353 0.500
2 S 0.750 0.000 0.209
3 S 0.250 0.709 0.500
4 V 0.500 0.910 0.590
5 S 0.750 0.500 0.709
6 V 0.250 0.000 0.853
7 V 0.250 0.500 0.353
8 V 0.000 0.203 0.297
9 V 0.000 0.297 0.797
10 V 0.500 0.590 0.090
11 V 0.000 0.090 0.590
12 V 0.500 0.297 0.203
13 V 0.000 0.797 0.703
14 S 0.750 0.500 0.291
15 V 0.750 0.647 0.500
16 S 0.250 0.791 0.000
17 V 0.000 0.703 0.203
18 V 0.250 0.000 0.147
19 V 0.500 0.797 0.297
20 V 0.000 0.410 0.090
21 S 0.250 0.291 0.500
22 V 0.000 0.910 0.410
23 S 0.750 0.000 0.791
24 V 0.500 0.410 0.910
25 V 0.000 0.590 0.910
26 V 0.750 0.147 0.000
27 V 0.500 0.203 0.703
28 S 0.250 0.209 0.000
29 V 0.500 0.090 0.410
30 V 0.500 0.703 0.797
31 V 0.250 0.500 0.647
32 V 0.750 0.853 0.000



VS | PBEsol | optimized geometry

a b c (Å): 3.121 3.121 6.056
angles (deg): 90.00 90.00 120.00
Positions (direct):
1 V 0.000 0.000 0.000
2 S 0.333 0.667 0.250
3 S 0.667 0.333 0.750
4 V 0.000 0.000 0.500



| no. | electronic total energy (eV/atom) | spin magnetization (μB/f.u.) |
| --- | --- | --- |
| 1 | -8.97 | 0.00 |
| 2 | -7.07 | 0.00 |
| 3 | -6.03 | 0.00 |
| 4 | -7.07 | 0.00 |
| 5 | -8.98 | 0.00 |
| 6 | -8.04 | 0.00 |